(1)
Material: LiRhAuO4
Method: DFT, GGA-PBE
State: relaxed

Results
Formation energy (no corrections), eV per formula unit: -5.02
Final energy, eV/atom: -5.342
Size of the total moment, μB per formula unit: 0.7

abc: 6.5561 6.5561 6.5561
angles: 125.37 125.08 81.17
With the nearest neighbours (Å) after each atom.
Fractional coordinates of all 14 atoms:
Li1 0.3911 0.1411 0.2500  4 O 2.04-2.27
Li2 0.6089 0.8589 0.7500  4 O 2.04-2.27
Rh1 0.0000 0.5000 0.5000  6 O 2.01-2.06
Rh2 0.5000 0.5000 0.0000  6 O 2.01-2.06
Au1 0.0000 0.0000 0.5000  4 O 2.06
Au2 0.0000 0.5000 0.0000  4 O 2.06
O1 0.1778 0.7064 0.4714  2 Au 2.06, 1 Rh 2.06, 1 Li 2.27
O2 0.2651 0.2936 0.9714  2 Au 2.06, 1 Rh 2.06, 1 Li 2.27
O3 0.2804 0.3164 0.5361  2 Rh 2.01, 1 Li 2.04
O4 0.2804 0.7443 0.9639  2 Rh 2.01, 1 Li 2.04
O5 0.7196 0.2557 0.0361  2 Rh 2.01, 1 Li 2.04
O6 0.7196 0.6836 0.4639  2 Rh 2.01, 1 Li 2.04
O7 0.7349 0.7064 0.0286  2 Au 2.06, 1 Rh 2.06, 1 Li 2.27
O8 0.8222 0.2936 0.5286  2 Au 2.06, 1 Rh 2.06, 1 Li 2.27

(2)
Material: K4Tb3SbSe8
Method: DFT, GGA-PBE
State: relaxed

Results
Formation energy (no corrections), eV per formula unit: -23.99
Final energy, eV/atom: -4.642
Size of the total moment, μB per formula unit: 0.0

abc: 9.1036 9.1036 9.1036
angles: 55.54 55.54 55.54
With the nearest neighbours (Å) after each atom.
Fractional coordinates of all 16 atoms:
K1 0.0000 0.0000 0.0000  6 Se 3.33
K2 0.0000 0.5000 0.5000  6 Se 3.33-3.34
K3 0.5000 0.0000 0.5000  6 Se 3.33-3.34
K4 0.5000 0.5000 0.0000  6 Se 3.33-3.34
Tb1 0.0000 0.0000 0.5000  6 Se 2.91
Tb2 0.0000 0.5000 0.0000  6 Se 2.91
Tb3 0.5000 0.0000 0.0000  6 Se 2.91
Sb1 0.5000 0.5000 0.5000  6 Se 2.92
Se1 0.2345 0.7354 0.7354  2 Tb 2.91, 1 Sb 2.92
Se2 0.2353 0.2353 0.2353  3 Tb 2.91
Se3 0.2646 0.2646 0.7655  2 Tb 2.91, 1 Sb 2.92
Se4 0.2646 0.7655 0.2646  2 Tb 2.91, 1 Sb 2.92
Se5 0.7354 0.2345 0.7354  2 Tb 2.91, 1 Sb 2.92
Se6 0.7354 0.7354 0.2345  2 Tb 2.91, 1 Sb 2.92
Se7 0.7647 0.7647 0.7647  3 Tb 2.91
Se8 0.7655 0.2646 0.2646  2 Tb 2.91, 1 Sb 2.92

(3)
Material: TlMoSe
Method: DFT, GGA-PBE
State: relaxed

Results
Formation energy (no corrections), eV per formula unit: 1.39
Final energy, eV/atom: -5.098
Size of the total moment, μB per formula unit: 0.5

abc: 4.3805 4.3805 3.8192
angles: 90.00 90.00 120.00
With the nearest neighbours (Å) after each atom.
Fractional coordinates of all 3 atoms:
Tl1 0.0000 0.0000 0.0000  6 Se 3.17, 6 Mo 3.17
Mo1 0.6667 0.3333 0.5000  3 Se 2.53
Se1 0.3333 0.6667 0.5000  3 Mo 2.53

(4)
Material: CaPbS
Method: DFT, GGA-PBE
State: relaxed

Results
Formation energy (no corrections), eV per formula unit: -3.01
Final energy, eV/atom: -4.283
Size of the total moment, μB per formula unit: 0.0

abc: 8.3826 8.3826 8.3826
angles: 35.32 35.32 35.32
With the nearest neighbours (Å) after each atom.
Fractional coordinates of all 6 atoms:
Ca1 0.1058 0.1058 0.1058  4 S 2.76-2.94
Ca2 0.8942 0.8942 0.8942  4 S 2.76-2.94
Pb1 0.3478 0.3478 0.3478  1 S 2.94, 3 Pb 3.01
Pb2 0.6522 0.6522 0.6522  1 S 2.94, 3 Pb 3.01
S1 0.2228 0.2228 0.2228  4 Ca 2.76-2.94, 1 Pb 2.94
S2 0.7772 0.7772 0.7772  4 Ca 2.76-2.94, 1 Pb 2.94

(5)
Material: Pr4Nd3Ho5
Method: DFT, GGA-PBE
State: relaxed

Results
Formation energy, meV/atom: 214
Final energy, eV/atom: -4.478
Size of the total moment, μB per formula unit: 0.0

abc: 8.6536 8.6536 9.4543
angles: 114.60 114.60 40.76
With the nearest neighbours (Å) after each atom.
Fractional coordinates of all 12 atoms:
Pr1 0.0850 0.0850 0.4463  2 Pr 3.33-3.70, 1 Nd 3.44, 3 Ho 3.48-3.55
Pr2 0.2106 0.2106 0.8830  3 Nd 3.33-3.63, 3 Pr 3.62-3.70, 2 Ho 3.71
Pr3 0.7894 0.7894 0.1170  3 Nd 3.33-3.63, 3 Pr 3.62-3.70, 2 Ho 3.71
Pr4 0.9150 0.9150 0.5537  2 Pr 3.33-3.70, 1 Nd 3.44, 3 Ho 3.48-3.55
Nd1 0.2114 0.2114 0.2354  5 Ho 3.15-3.51, 2 Pr 3.33-3.44
Nd2 0.5000 0.5000 0.0000  2 Ho 3.01
Nd3 0.7886 0.7886 0.7646  5 Ho 3.15-3.51, 2 Pr 3.33-3.44
Ho1 0.0000 0.0000 0.0000  4 Nd 3.01-3.15
Ho2 0.3290 0.3290 0.6150  4 Nd 3.23-3.51, 3 Pr 3.48-3.55
Ho3 0.4296 0.4296 0.3026  2 Nd 3.31-3.52, 2 Ho 3.40-3.64
Ho4 0.5704 0.5704 0.6974  2 Nd 3.31-3.52, 2 Ho 3.40-3.64
Ho5 0.6710 0.6710 0.3850  4 Nd 3.23-3.51, 3 Pr 3.48-3.55

(6)
Material: Al3Pb
Method: DFT, GGA-PBE
State: relaxed

Results
Formation energy, meV/atom: 269
Final energy, eV/atom: -3.465
Size of the total moment, μB per formula unit: 0.0

abc: 5.9233 5.9233 5.9233
angles: 148.31 127.47 62.66
With the nearest neighbours (Å) after each atom.
Fractional coordinates of all 4 atoms:
Al1 0.0000 0.0000 0.0000  4 Al 2.81, 4 Pb 3.08
Al2 0.2267 0.7267 0.5000  6 Al 2.81-3.12
Al3 0.7733 0.2733 0.5000  6 Al 2.81-3.12
Pb1 0.5000 0.5000 0.0000  8 Al 3.08-3.20, 2 Pb 3.23

> size of the total moment of number 2 (K4Tb3SbSe8)?

0.0 μB per formula unit